! PBE SrZnCu2F8, optimized geometry; values from VASP
! - N(E_F): 3.867 states/eV/f.u.
! - Crystal system: tetragonal
! - Magnetic moment: 2.00 μB per cell
! - Formation energy from raw total energies: -2.2170 eV/atom
&SYSTEM
  ibrav = 0, nat = 12, ntyp = 4
/
ATOMIC_SPECIES
Sr 87.62 Sr.upf
Zn 65.41 Zn.upf
Cu 63.55 Cu.upf
F 19.00 F.upf
CELL_PARAMETERS angstrom
-2.714 2.714 5.365
2.714 -2.714 5.365
2.714 2.714 -5.365
ATOMIC_POSITIONS crystal
Sr 0.000 0.000 0.000
Zn 0.250 0.750 0.500
Cu 0.500 0.500 0.000
Cu 0.750 0.250 0.500
F 0.266 0.435 0.570
F 0.304 0.734 0.168
F 0.412 0.011 0.027
F 0.565 0.135 0.832
F 0.615 0.588 0.599
F 0.865 0.696 0.430
F 0.984 0.385 0.973
F 0.989 0.016 0.401



! PBE TaCuF3, optimized geometry; values from VASP
! - N(E_F): 5.350 states/eV/f.u.
! - Polymorph energy (0 for the lowest one): 0.000 eV/atom
! - Crystal system: cubic
! - Magnetic moment: 1.96 μB per cell
! - Formation energy from raw total energies: -1.2970 eV/atom
&SYSTEM
  ibrav = 0, nat = 5, ntyp = 3
/
ATOMIC_SPECIES
Ta 180.95 Ta.upf
Cu 63.55 Cu.upf
F 19.00 F.upf
CELL_PARAMETERS angstrom
4.195 0.000 0.000
0.000 4.195 0.000
0.000 0.000 4.195
ATOMIC_POSITIONS crystal
Ta 0.000 0.000 0.000
Cu 0.500 0.500 0.500
F 0.000 0.000 0.500
F 0.000 0.500 0.000
F 0.500 0.000 0.000



! PBE TaCu2F8, optimized geometry; values from VASP
! - N(E_F): 1.129 states/eV/f.u.
! - Crystal system: trigonal
! - Magnetic moment: 1.00 μB per cell
! - Formation energy from raw total energies: -2.2939 eV/atom
&SYSTEM
  ibrav = 0, nat = 11, ntyp = 3
/
ATOMIC_SPECIES
Ta 180.95 Ta.upf
Cu 63.55 Cu.upf
F 19.00 F.upf
CELL_PARAMETERS angstrom
6.603 0.000 0.000
-3.301 5.718 0.000
0.000 0.000 4.021
ATOMIC_POSITIONS crystal
Ta 0.000 0.000 0.000
Cu 0.333 0.667 0.263
Cu 0.667 0.333 0.737
F 0.143 0.286 0.254
F 0.143 0.857 0.254
F 0.286 0.143 0.746
F 0.333 0.667 0.762
F 0.667 0.333 0.238
F 0.714 0.857 0.254
F 0.857 0.143 0.746
F 0.857 0.714 0.746



! PBE Ta2CuF, optimized geometry; values from VASP
! - N(E_F): 1.951 states/eV/f.u.
! - Crystal system: tetragonal
! - Magnetic moment: 0.00 μB per cell
! - Formation energy from raw total energies: 0.2354 eV/atom
&SYSTEM
  ibrav = 0, nat = 8, ntyp = 3
/
ATOMIC_SPECIES
Ta 180.95 Ta.upf
Cu 63.55 Cu.upf
F 19.00 F.upf
CELL_PARAMETERS angstrom
-1.956 1.956 8.499
1.956 -1.956 8.499
1.956 1.956 -8.499
ATOMIC_POSITIONS crystal
Ta 0.125 0.625 0.000
Ta 0.375 0.375 0.500
Ta 0.625 0.125 0.000
Ta 0.875 0.875 0.500
Cu 0.000 0.000 0.000
Cu 0.750 0.250 0.500
F 0.250 0.750 0.500
F 0.500 0.500 0.000



! PBE TaCuF3, optimized geometry; values from VASP
! - N(E_F): 4.733 states/eV/f.u.
! - Polymorph energy (0 for the lowest one): 0.839 eV/atom
! - Crystal system: cubic
! - Magnetic moment: 2.82 μB per cell
! - Formation energy from raw total energies: -0.4582 eV/atom
&SYSTEM
  ibrav = 0, nat = 5, ntyp = 3
/
ATOMIC_SPECIES
Ta 180.95 Ta.upf
Cu 63.55 Cu.upf
F 19.00 F.upf
CELL_PARAMETERS angstrom
4.081 0.000 0.000
0.000 4.081 0.000
0.000 0.000 4.081
ATOMIC_POSITIONS crystal
Ta 0.000 0.000 0.000
Cu 0.500 0.500 0.500
F 0.000 0.500 0.500
F 0.500 0.000 0.500
F 0.500 0.500 0.000



! PBE TaZn2CuF, optimized geometry; values from VASP
! - N(E_F): 2.557 states/eV/f.u.
! - Crystal system: tetragonal
! - Magnetic moment: 0.00 μB per cell
! - Formation energy from raw total energies: 0.1637 eV/atom
&SYSTEM
  ibrav = 0, nat = 5, ntyp = 4
/
ATOMIC_SPECIES
Ta 180.95 Ta.upf
Zn 65.41 Zn.upf
Cu 63.55 Cu.upf
F 19.00 F.upf
CELL_PARAMETERS angstrom
4.267 0.000 0.000
0.000 4.267 0.000
0.000 0.000 4.213
ATOMIC_POSITIONS crystal
Ta 0.000 0.000 0.000
Zn 0.000 0.500 0.500
Zn 0.500 0.000 0.500
Cu 0.500 0.500 0.000
F 0.000 0.000 0.500



! PBE TbCuF5, optimized geometry; values from VASP
! - N(E_F): 0.861 states/eV/f.u.
! - Crystal system: monoclinic
! - Magnetic moment: 2.01 μB per cell
! - Formation energy from raw total energies: -2.9905 eV/atom
&SYSTEM
  ibrav = 0, nat = 14, ntyp = 3
/
ATOMIC_SPECIES
Tb 158.93 Tb.upf
Cu 63.55 Cu.upf
F 19.00 F.upf
CELL_PARAMETERS angstrom
4.397 -3.580 0.000
4.397 3.580 0.000
-2.847 0.000 6.717
ATOMIC_POSITIONS crystal
Tb 0.059 0.941 0.750
Tb 0.941 0.059 0.250
Cu 0.500 0.500 0.000
Cu 0.500 0.500 0.500
F 0.158 0.811 0.037
F 0.189 0.842 0.463
F 0.231 0.309 0.376
F 0.309 0.231 0.876
F 0.386 0.614 0.750
F 0.614 0.386 0.250
F 0.691 0.769 0.124
F 0.769 0.691 0.624
F 0.811 0.158 0.537
F 0.842 0.189 0.963



! PBE TbTl2Cu3F12, optimized geometry; values from VASP
! - N(E_F): 2.425 states/eV/f.u.
! - Crystal system: trigonal
! - Magnetic moment: 4.01 μB per cell
! - Formation energy from raw total energies: -2.1327 eV/atom
&SYSTEM
  ibrav = 0, nat = 18, ntyp = 4
/
ATOMIC_SPECIES
Tb 158.93 Tb.upf
Tl 204.38 Tl.upf
Cu 63.55 Cu.upf
F 19.00 F.upf
CELL_PARAMETERS angstrom
3.826 2.209 5.262
-3.826 2.209 5.262
0.000 -4.418 5.262
ATOMIC_POSITIONS crystal
Tb 0.000 0.000 0.000
Tl 0.388 0.388 0.388
Tl 0.612 0.612 0.612
Cu 0.000 0.000 0.500
Cu 0.000 0.500 0.000
Cu 0.500 0.000 0.000
F 0.093 0.737 0.737
F 0.128 0.128 0.612
F 0.128 0.612 0.128
F 0.263 0.263 0.907
F 0.263 0.907 0.263
F 0.388 0.872 0.872
F 0.612 0.128 0.128
F 0.737 0.093 0.737
F 0.737 0.737 0.093
F 0.872 0.388 0.872
F 0.872 0.872 0.388
F 0.907 0.263 0.263